(1)
This record from Alexandria via LeMat-Bulk describes crystalline SiAg2Mo at its relaxed geometry. The functional is PBE.

Lattice parameters (Å, degrees): 2.776 4.404 5.388 90.00 90.00 90.00
Positions (direct):
Si 0.500 0.500 0.750
Ag 0.000 0.000 0.499
Ag 0.000 0.000 0.001
Mo 0.500 0.500 0.250

Output
The total energy is -5.03 eV/atom. Its energy relative to the elements, uncorrected is 461.3 meV per atom.


(2)
This record from Alexandria via LeMat-Bulk describes crystalline Si3PtN at its relaxed geometry. The functional is PBE.

Lattice parameters (Å, degrees): 3.979 3.979 3.979 90.00 90.00 90.00
Positions (direct):
Si 0.000 0.500 0.000
Si 0.500 0.000 0.000
Si 0.000 0.000 0.500
N 0.000 0.000 0.000
Pt 0.500 0.500 0.500

Output
The calculation puts the energy above the lowest structure with this stoichiometry at 0 meV per atom. The total energy is -5.81 eV/atom. Its energy relative to the elements, uncorrected is 314.7 meV per atom.


(3)
This record from Alexandria via LeMat-Bulk describes crystalline NdBiRh2 at its relaxed geometry. The functional is PBE.

Lattice parameters (Å, degrees): 4.088 6.247 7.158 90.00 90.00 109.10
Positions (direct):
Nd 0.048 0.096 0.750
Nd 0.952 0.904 0.250
Rh 0.614 0.228 0.444
Rh 0.614 0.228 0.056
Rh 0.386 0.772 0.556
Rh 0.386 0.772 0.944
Bi 0.769 0.538 0.750
Bi 0.231 0.462 0.250

Output
For the energy of formation from the pure elements, the calculation gives -0.470 eV per atom. The total energy is -6.31 eV/atom.


(4)
This record from Alexandria via LeMat-Bulk describes crystalline Ho4Bi2AsS at its relaxed geometry. The functional is PBE.

Lattice parameters (Å, degrees): 4.208 7.397 7.274 70.83 90.00 90.00
Positions (direct):
Bi 0.000 0.000 0.000
Bi 0.500 0.000 0.500
Ho 0.500 0.276 0.742
Ho 0.000 0.723 0.759
Ho 0.500 0.724 0.258
Ho 0.000 0.277 0.241
S 0.500 0.500 0.000
As 0.000 0.500 0.500

Output
The total energy is -5.61 eV/atom. Its energy relative to the elements, uncorrected is -1251.6 meV per atom.


(5)
This record from Alexandria via LeMat-Bulk describes crystalline RbSr2AlF8 at its relaxed geometry. The functional is PBE.

Lattice parameters (Å, degrees): 4.844 5.241 7.767 85.37 86.83 93.97
Positions (direct):
F 0.086 0.748 0.174
F 0.516 0.259 0.505
F 0.800 0.143 0.165
F 0.914 0.252 0.826
F 0.705 0.774 0.958
F 0.484 0.741 0.495
F 0.295 0.226 0.042
F 0.200 0.857 0.835
Sr 0.541 0.527 0.237
Sr 0.459 0.473 0.763
Al 0.000 0.000 0.000
Rb 0.000 0.000 0.500

Output
The total energy is -5.48 eV/atom. Its energy relative to the elements, uncorrected is -3557.8 meV per atom.


(6)
This record from Alexandria via LeMat-Bulk describes crystalline LaYAu at its relaxed geometry. The functional is PBE.

Lattice parameters (Å, degrees): 6.934 6.934 3.678 74.61 74.62 30.76
Positions (direct):
Y 0.636 0.636 0.364
Au 0.014 0.014 0.986
La 0.351 0.351 0.649

Output
The calculation puts the energy above the lowest structure with this stoichiometry at 57 meV per atom. For the energy of formation from the pure elements, the calculation gives -0.520 eV per atom. The total energy is -5.41 eV/atom.


(7)
This record from Alexandria via LeMat-Bulk describes crystalline VReRh5 at its relaxed geometry. The functional is PBE.

Lattice parameters (Å, degrees): 5.258 5.258 10.067 63.20 63.20 67.34
Positions (direct):
Rh 0.908 0.092 0.750
Rh 0.427 0.285 0.980
Rh 0.715 0.573 0.520
Rh 0.891 0.580 0.758
Rh 0.285 0.427 0.480
Rh 0.109 0.420 0.242
Rh 0.580 0.891 0.258
Rh 0.573 0.715 0.020
Rh 0.420 0.109 0.742
Rh 0.092 0.908 0.250
V 0.000 0.000 0.500
V 0.000 0.000 0.000
Re 0.668 0.332 0.250
Re 0.332 0.668 0.750

Output
For the energy of formation from the pure elements, the calculation gives 0.124 eV per atom. The total energy is -8.21 eV/atom.


(8)
This record from Alexandria via LeMat-Bulk describes crystalline PaNi22B6 at its relaxed geometry. The functional is PBE.

Lattice parameters (Å, degrees): 7.497 7.497 7.497 60.00 60.00 60.00
Positions (direct):
Ni 0.344 0.656 0.000
Ni 0.383 0.383 0.383
Ni 0.250 0.250 0.250
Ni 0.851 0.383 0.383
Ni 0.000 0.000 0.344
Ni 0.617 0.149 0.617
Ni 0.000 0.344 0.000
Ni 0.656 0.000 0.000
Ni 0.383 0.383 0.851
Ni 0.656 0.344 0.000
Ni 0.000 0.000 0.656
Ni 0.000 0.656 0.000
Ni 0.656 0.000 0.344
Ni 0.383 0.851 0.383
Ni 0.344 0.000 0.656
Ni 0.344 0.000 0.000
Ni 0.750 0.750 0.750
Ni 0.000 0.656 0.344
Ni 0.149 0.617 0.617
Ni 0.617 0.617 0.617
Ni 0.617 0.617 0.149
Ni 0.000 0.344 0.656
B 0.724 0.276 0.276
B 0.276 0.724 0.724
B 0.276 0.724 0.276
B 0.276 0.276 0.724
B 0.724 0.724 0.276
B 0.724 0.276 0.724
Pa 0.000 0.000 0.000

Output
For the energy of formation from the pure elements, the calculation gives -0.233 eV per atom. The total energy is -6.33 eV/atom.


(9)
This record from Alexandria via LeMat-Bulk describes crystalline LiOs3Pd at its relaxed geometry. The functional is PBE.

Lattice parameters (Å, degrees): 4.098 4.098 4.098 90.00 90.00 90.00
Positions (direct):
Pd 0.500 0.500 0.500
Os 0.500 0.000 0.000
Os 0.000 0.000 0.500
Os 0.000 0.500 0.000
Li 0.000 0.000 0.000

Output
The calculation puts the energy above the lowest structure with this stoichiometry at 0 meV per atom. For the energy of formation from the pure elements, the calculation gives 1.362 eV per atom. The total energy is -6.80 eV/atom.


(10)
This record from Alexandria via LeMat-Bulk describes crystalline TbNd2Dy4Tm at its relaxed geometry. The functional is PBE.

Lattice parameters (Å, degrees): 9.514 9.514 11.817 128.39 128.39 88.42
Positions (direct):
Dy 0.751 0.749 0.505
Dy 0.254 0.744 0.499
Dy 0.746 0.256 0.501
Dy 0.756 0.246 0.001
Dy 0.751 0.749 0.995
Dy 0.249 0.251 0.005
Dy 0.244 0.754 0.999
Dy 0.249 0.251 0.495
Nd 0.500 0.000 0.000
Nd 0.000 0.000 0.500
Nd 0.500 0.000 0.500
Nd 0.500 0.500 0.000
Tm 0.500 0.500 0.500
Tm 0.000 0.000 0.000
Tb 0.000 0.500 0.000
Tb 0.000 0.500 0.500

Output
For the energy of formation from the pure elements, the calculation gives 0.423 eV per atom. The total energy is -4.21 eV/atom.


(11)
This record from Alexandria via LeMat-Bulk describes crystalline Sm2In8Au at its relaxed geometry. The functional is PBE.

Lattice parameters (Å, degrees): 4.780 4.780 12.276 90.00 90.00 90.00
Positions (direct):
Au 0.000 0.000 0.000
In 0.500 0.000 0.500
In 0.000 0.500 0.500
In 0.500 0.500 0.689
In 0.500 0.000 0.131
In 0.500 0.000 0.869
In 0.000 0.500 0.869
In 0.500 0.500 0.311
In 0.000 0.500 0.131
Sm 0.000 0.000 0.689
Sm 0.000 0.000 0.311

Output
The calculation puts the energy above the lowest structure with this stoichiometry at 0 meV per atom. For the energy of formation from the pure elements, the calculation gives -0.363 eV per atom. The total energy is -3.51 eV/atom.